Density functional theory data (PBE) for Eu2GaRh after structural relaxation.

Values from the calculation:
Symmetry ... P4/mmm (123)
Polymorph energy (0 for the lowest one) ... 0.0 meV/atom
Total energy ... -8.1248 eV per atom
ΔE_f ... -0.3930 eV per atom

Cell: 3.677 3.677 7.015 Å, 90.00 90.00 90.00°
Sites, in units of the cell vectors:
Eu: 0.000 0.000 0.234
Eu: 0.000 0.000 0.766
Ga: 0.500 0.500 0.500
Rh: 0.500 0.500 0.000